Entry 1:
Computed, not measured: a relaxed CoAgPt crystal at the PBE-GGA level of DFT.

```
CoAgPt
1.0
-1.394 1.394 5.774
1.394 -1.394 5.774
1.394 1.394 -5.774
Co Ag Pt
1 1 1
direct
0.000 0.000 0.000
0.669 0.669 0.000
0.357 0.357 0.000
```

Output
Crystal system: tetragonal
E_form: 2.53 kcal/mol of atoms
Symmetry: No. 107



Entry 2:
Computed, not measured: a relaxed SrCu3S crystal at the PBE-GGA level of DFT.

```
SrCu3S
1.0
4.643 0.000 0.000
0.000 4.643 0.000
0.000 0.000 4.643
Sr Cu S
1 3 1
direct
0.000 0.000 0.000
0.000 0.500 0.500
0.500 0.000 0.500
0.500 0.500 0.000
0.500 0.500 0.500
```

Output
Calculated total energy: -17.35 eV per cell
Crystal system: cubic
Symmetry: No. 221



Entry 3:
Computed, not measured: a relaxed Er2MgAs crystal at the PBE-GGA level of DFT.

```
Er2MgAs
1.0
1.895 1.094 10.002
-1.895 1.094 10.002
0.000 -2.188 10.002
Er Mg As
2 1 1
direct
0.110 0.110 0.110
0.890 0.890 0.890
0.000 0.000 0.000
0.500 0.500 0.500
```

Output
Crystal system: trigonal
E_form: -8.11 kcal/mol of atoms
Symmetry: No. 166



Entry 4:
Computed, not measured: a relaxed MgMn2Sb2 crystal at the PBE-GGA level of DFT.

```
MgMn2Sb2
1.0
7.300 0.000 0.000
0.000 7.300 0.000
0.000 0.000 3.209
Mg Mn Sb
2 4 4
direct
0.000 0.000 0.000
0.500 0.500 0.000
0.135 0.365 0.000
0.365 0.865 0.000
0.635 0.135 0.000
0.865 0.635 0.000
0.161 0.661 0.500
0.339 0.161 0.500
0.661 0.839 0.500
0.839 0.339 0.500
```

Output
Calculated total energy: -53.75 eV per cell
Crystal system: tetragonal
Symmetry: No. 127